Computed, not measured: a geometry-optimized PuPaS2O structure at the PBE level of DFT.

Computed properties:
Space-group type: P4/nmm (129)
Density, g cm⁻³: 9.32
E_tot, eV for the cell shown: -95.355
N(E_F), states/eV/cell: 18.89
Uncorrected formation energy, eV/atom: -2.13

Cell: 3.8528 3.8528 13.3271 Å, 90.00 90.00 90.00°
Positions (direct):
Pu (0.5000, 0.0000, 0.5946)
Pu (0.0000, 0.5000, 0.4054)
Pa (0.5000, 0.0000, 0.1042)
Pa (0.0000, 0.5000, 0.8958)
S (0.0000, 0.5000, 0.6964)
S (0.0000, 0.5000, 0.1105)
S (0.5000, 0.0000, 0.8895)
S (0.5000, 0.0000, 0.3036)
O (0.0000, 0.0000, 0.5000)
O (0.5000, 0.5000, 0.5000)

---

Computed, not measured: a geometry-optimized Sr3AcPt3 structure at the PBE level of DFT.

Computed properties:
Space-group type: R-3 (148)
Density, g cm⁻³: 8.02
Calculated formation energy, eV/atom: -0.832
E_tot, eV for the cell shown: -66.195
N(E_F), states/eV/cell: 7.66

Cell: 8.0591 8.0591 8.0591 Å, 69.76 69.76 69.76°
Positions (direct):
Sr (0.8272, 0.3566, 0.1167)
Sr (0.1167, 0.8272, 0.3566)
Sr (0.3566, 0.1167, 0.8272)
Sr (0.6434, 0.8833, 0.1727)
Sr (0.8833, 0.1727, 0.6434)
Sr (0.1727, 0.6434, 0.8833)
Ac (0.3284, 0.3284, 0.3284)
Ac (0.6716, 0.6716, 0.6716)
Pt (0.5487, 0.3204, 0.9440)
Pt (0.3204, 0.9440, 0.5487)
Pt (0.9440, 0.5487, 0.3204)
Pt (0.0560, 0.4513, 0.6796)
Pt (0.6796, 0.0560, 0.4513)
Pt (0.4513, 0.6796, 0.0560)

---

Computed, not measured: a geometry-optimized Mg2TcHg structure at the PBE level of DFT.

Computed properties:
Space-group type: R3m (160)
Density, g cm⁻³: 7.54
Calculated formation energy, eV/atom: 0.308
E_tot, eV for the cell shown: -12.627
N(E_F), states/eV/cell: 2.82

Cell: 9.8455 9.8455 9.8455 Å, 17.64 17.64 17.64°
Positions (direct):
Hg (0.7537, 0.7537, 0.7537)
Mg (0.0022, 0.0022, 0.0022)
Mg (0.2429, 0.2429, 0.2429)
Tc (0.5013, 0.5013, 0.5013)

---

Computed, not measured: a geometry-optimized Th2MgMo structure at the PBE level of DFT.

Computed properties:
E above lowest polymorph, meV/atom: 376.3
Space-group type: R-3m (166)
Density, g cm⁻³: 8.49
Calculated formation energy, eV/atom: 0.519
E_tot, eV for the cell shown: -25.190
N(E_F), states/eV/cell: 5.72

Cell: 3.4168 3.4168 11.4709 Å, 81.43 81.43 60.00°
Positions (direct):
Mo (0.5000, 0.5000, 0.5000)
Mg (0.0000, 0.0000, 0.0000)
Th (0.1009, 0.1009, 0.6973)
Th (0.8991, 0.8991, 0.3027)

---

Computed, not measured: a geometry-optimized KSbN2O structure at the PBE level of DFT.

Computed properties:
Space-group type: P4/mmm (123)
Density, g cm⁻³: 3.34
E_tot, eV for the cell shown: -16.212
N(E_F), states/eV/cell: 2.18
Uncorrected formation energy, eV/atom: 2.12

Cell: 4.7666 4.7666 4.4772 Å, 90.00 90.00 90.00°
Positions (direct):
Sb (0.5000, 0.5000, 0.5000)
K (0.0000, 0.0000, 0.0000)
O (0.0000, 0.0000, 0.5000)
N (0.0000, 0.5000, 0.0000)
N (0.5000, 0.0000, 0.0000)

---

Computed, not measured: a geometry-optimized TcRh4W structure at the PBE level of DFT.

Computed properties:
E above lowest polymorph, meV/atom: 331.1
Space-group type: F-43m (216)
Density, g cm⁻³: 12.76
Calculated formation energy, eV/atom: 0.324
E_tot, eV for the cell shown: -50.779
N(E_F), states/eV/cell: 11.95

Cell: 5.0344 5.0344 5.0344 Å, 60.00 60.00 60.00°
Positions (direct):
Tc (0.2500, 0.2500, 0.2500)
Rh (0.6248, 0.6248, 0.1257)
Rh (0.6248, 0.1257, 0.6248)
Rh (0.6248, 0.6248, 0.6248)
Rh (0.1257, 0.6248, 0.6248)
W (0.0000, 0.0000, 0.0000)

---

Computed, not measured: a geometry-optimized DyTh2H8 structure at the PBE level of DFT.

Computed properties:
Space-group type: Immm (71)
Density, g cm⁻³: 9.12
E_tot, eV for the cell shown: -51.771
N(E_F), states/eV/cell: 3.78

Cell: 3.9492 4.8056 6.8386 Å, 110.57 106.78 90.00°
Positions (direct):
Dy (0.5000, 0.0000, 0.0000)
Th (0.1680, 0.6680, 0.3360)
Th (0.8320, 0.3320, 0.6640)
H (0.6541, 0.9108, 0.3081)
H (0.3459, 0.6027, 0.6919)
H (0.1991, 0.1991, 0.3982)
H (0.0000, 0.2484, 0.0000)
H (0.8009, 0.8009, 0.6018)
H (0.6541, 0.3973, 0.3081)
H (0.3459, 0.0892, 0.6919)
H (0.0000, 0.7516, 0.0000)

---

Computed, not measured: a geometry-optimized LaTb6NdEr2 structure at the PBE level of DFT.

Computed properties:
Space-group type: C2/c (15)
Density, g cm⁻³: 7.90
Calculated formation energy, eV/atom: 0.121
E_tot, eV for the cell shown: -90.789
N(E_F), states/eV/cell: 27.89

Cell: 9.4254 8.8439 8.8439 Å, 115.91 92.52 92.52°
Positions (direct):
La (0.2500, 0.9573, 0.0427)
La (0.7500, 0.0427, 0.9573)
Tb (0.0595, 0.1095, 0.7607)
Tb (0.4405, 0.2393, 0.8905)
Tb (0.9405, 0.8905, 0.2393)
Tb (0.5595, 0.7607, 0.1095)
Tb (0.3220, 0.9935, 0.4505)
Tb (0.1780, 0.5495, 0.0065)
Tb (0.6780, 0.0065, 0.5495)
Tb (0.8220, 0.4505, 0.9935)
Tb (0.1117, 0.7073, 0.4726)
Tb (0.3883, 0.5274, 0.2927)
Tb (0.8883, 0.2927, 0.5274)
Tb (0.6117, 0.4726, 0.7073)
Nd (0.2500, 0.4112, 0.5888)
Nd (0.7500, 0.5888, 0.4112)
Er (0.4447, 0.7996, 0.6988)
Er (0.0553, 0.3012, 0.2004)
Er (0.5553, 0.2004, 0.3012)
Er (0.9447, 0.6988, 0.7996)

---

Computed, not measured: a geometry-optimized TbTmHgPd structure at the PBE level of DFT.

Computed properties:
E above lowest polymorph, meV/atom: 0.0
Space-group type: P4mm (99)
Density, g cm⁻³: 11.30
Calculated formation energy, eV/atom: -0.695
E_tot, eV for the cell shown: -17.376
N(E_F), states/eV/cell: 2.71

Cell: 3.5589 3.5589 7.3688 Å, 90.00 90.00 90.00°
Positions (direct):
Tb (0.5000, 0.5000, 0.1273)
Tm (0.5000, 0.5000, 0.5847)
Hg (0.0000, 0.0000, 0.8492)
Pd (0.0000, 0.0000, 0.3667)

---

Computed, not measured: a geometry-optimized DyZnI structure at the PBE level of DFT.

Computed properties:
Space-group type: C2/m (12)
Density, g cm⁻³: 6.23
E_tot, eV for the cell shown: -18.716
N(E_F), states/eV/cell: 3.69
Uncorrected formation energy, eV/atom: -0.64

Cell: 4.0208 4.0228 13.7069 Å, 90.15 81.57 60.02°
Positions (direct):
Dy (0.7945, 0.1004, 0.3107)
Dy (0.2055, 0.8996, 0.6893)
Zn (0.6347, 0.1837, 0.5469)
Zn (0.3653, 0.8163, 0.4531)
I (0.2313, 0.3809, 0.1566)
I (0.7687, 0.6191, 0.8434)

---

Computed, not measured: a geometry-optimized Ba2TcBO6 structure at the PBE level of DFT.

Computed properties:
Space-group type: I4/mmm (139)
Density, g cm⁻³: 5.67
E_tot, eV for the cell shown: -71.025
N(E_F), states/eV/cell: 1.71
Uncorrected formation energy, eV/atom: -2.04

Cell: 5.6809 5.6810 6.3612 Å, 55.95 55.95 75.30°
Positions (direct):
Ba (0.7500, 0.2500, 0.5000)
Ba (0.2500, 0.7500, 0.5000)
Tc (0.0000, 0.0000, 0.0000)
B (0.5000, 0.5000, 0.0000)
O (0.2145, 0.2145, 0.5710)
O (0.7855, 0.7855, 0.9999)
O (0.3146, 0.6854, 0.0000)
O (0.6854, 0.3146, 0.0000)
O (0.2145, 0.2145, 0.0001)
O (0.7855, 0.7855, 0.4290)

---

Computed, not measured: a geometry-optimized Pu2InBi3 structure at the PBE level of DFT.

Computed properties:
E above lowest polymorph, meV/atom: 0.0
Space-group type: Pnnm (58)
Density, g cm⁻³: 11.47
Calculated formation energy, eV/atom: -0.244
E_tot, eV for the cell shown: -89.020
N(E_F), states/eV/cell: 45.22

Cell: 4.8446 6.5981 11.1424 Å, 90.00 90.00 90.00°
Positions (direct):
Pu (0.5000, 0.7557, 0.1421)
Pu (0.0000, 0.7443, 0.6421)
Pu (0.0000, 0.2557, 0.3579)
Pu (0.5000, 0.2443, 0.8579)
In (0.0000, 0.5000, 0.0000)
In (0.5000, 0.0000, 0.5000)
Bi (0.0000, 0.0000, 0.0000)
Bi (0.5000, 0.5000, 0.5000)
Bi (0.5000, 0.2578, 0.1609)
Bi (0.5000, 0.7422, 0.8391)
Bi (0.0000, 0.2422, 0.6609)
Bi (0.0000, 0.7578, 0.3391)